Version P
## KSrAu3 (GGA-PBE)

Data for KSrAu3 after structural relaxation.

Output
As for the spin magnetization: 0.00 μB/f.u. The density of states at the Fermi level comes out at 0.218 states/eV/atom.

Lattice parameters (Å, degrees): 4.0703 4.8533 14.6278 90.00 98.00 90.00
Closest atoms and distances in Å follow each position.
Sites, in units of the cell vectors:
1 Au 0.6168 0.7500 0.2336  3 Au 2.75-2.81
2 Au 0.3340 0.7500 0.6681  2 Au 2.81
3 Au 0.3832 0.2500 0.7664  3 Au 2.75-2.81
4 Au 0.5217 0.7500 0.0435  3 Au 2.73-2.75
5 Au 0.6660 0.2500 0.3319  2 Au 2.81
6 Au 0.4783 0.2500 0.9565  3 Au 2.73-2.75
7 K 0.7926 0.2500 0.5852  7 Au 3.32-3.67
8 K 0.2074 0.7500 0.4148  7 Au 3.32-3.67
9 Sr 0.9286 0.7500 0.8571  12 Au 3.38-3.48
10 Sr 0.0714 0.2500 0.1429  12 Au 3.38-3.48

=====

Version Q
## KSrAu3 (GGA-PBE)

Data for KSrAu3 after structural relaxation.

Output
As for the spin magnetization: 0.00 μB/f.u. The density of states at the Fermi level comes out at 0.000 states/eV/atom.

Lattice parameters (Å, degrees): 5.6473 5.6473 5.6473 90.00 90.00 90.00
Closest atoms and distances in Å follow each position.
Sites, in units of the cell vectors:
1 Au 0.0000 0.5000 0.0000  2 K 2.82
2 Au 0.5000 0.0000 0.0000  2 K 2.82
3 Au 0.0000 0.0000 0.5000  2 K 2.82
4 Sr 0.5000 0.5000 0.5000  12 Au 3.99
5 K 0.0000 0.0000 0.0000  6 Au 2.82

=====

Relative energies in kJ/mol of atoms: version P 0.0; version Q 70.4

=====

Version P
## KSrAu4 (GGA-PBE)

Data for KSrAu4 after structural relaxation.

Output
As for the spin magnetization: 0.00 μB/f.u. The density of states at the Fermi level comes out at 0.719 states/eV/atom.

Lattice parameters (Å, degrees): 5.8546 5.8546 5.8546 60.00 60.00 60.00
Closest atoms and distances in Å follow each position.
Sites, in units of the cell vectors:
1 Au 0.6249 0.6249 0.6249  6 Au 2.92-2.93
2 Au 0.1254 0.6249 0.6249  6 Au 2.92-2.93
3 Au 0.6249 0.1254 0.6249  6 Au 2.92-2.93
4 Au 0.6249 0.6249 0.1254  6 Au 2.92-2.93
5 Sr 0.0000 0.0000 0.0000  12 Au 3.43, 4 K 3.59
6 K 0.2500 0.2500 0.2500  12 Au 3.43, 4 Sr 3.59

=====

Version Q
## KSrAu4 (GGA-PBE)

Data for KSrAu4 after structural relaxation.

Output
As for the spin magnetization: 0.00 μB/f.u. The density of states at the Fermi level comes out at 0.277 states/eV/atom.

Lattice parameters (Å, degrees): 4.7334 6.3166 6.3161 81.03 67.99 68.00
Closest atoms and distances in Å follow each position.
Sites, in units of the cell vectors:
1 Au 0.6652 0.5704 0.5991  3 Au 2.76-2.77
2 Au 0.3348 0.4296 0.4009  3 Au 2.76-2.77
3 Au 0.3347 0.9010 0.9295  3 Au 2.76-2.77
4 Au 0.6653 0.0990 0.0705  3 Au 2.76-2.77
5 Sr 0.0000 0.5000 0.0000  12 Au 3.35-3.54
6 K 0.0000 0.0000 0.5000  12 Au 3.40-3.49

=====

Relative energies in kJ/mol of atoms: version P 5.2; version Q 0.0